Record 1
{"formula": "K2TmAs2S6", "functional": "PBE", "state": "optimized geometry", "crystal_system": "monoclinic", "total_energy_ev_per_atom": -4.528, "formation_energy_uncorrected_kj_per_mol_atoms": -80, "lattice": [[5.833, -3.545, 0.000], [5.833, 3.545, 0.000], [-3.797, 0.000, 7.365]], "species": ["K", "K", "Tm", "As", "As", "S", "S", "S", "S", "S", "S"], "frac_coords": [[0.199, 0.199, 0.173], [0.801, 0.801, 0.827], [0.000, 0.000, 0.500], [0.449, 0.449, 0.804], [0.551, 0.551, 0.196], [0.190, 0.701, 0.218], [0.248, 0.248, 0.582], [0.299, 0.810, 0.782], [0.701, 0.190, 0.218], [0.752, 0.752, 0.418], [0.810, 0.299, 0.782]]}

Record 2
{"formula": "AlZnTc", "functional": "PBE", "state": "optimized geometry", "crystal_system": "monoclinic", "total_energy_ev_per_atom": -5.299, "delta_e_f_ev_per_atom": -0.1715, "e_above_lowest_polymorph_ev_per_fu": 0.00, "lattice": [[4.386, -1.925, 0.000], [4.386, 1.925, 0.000], [-1.664, 0.000, 5.105]], "species": ["Al", "Al", "Zn", "Zn", "Tc", "Tc"], "frac_coords": [[0.175, 0.175, 0.322], [0.825, 0.825, 0.678], [0.500, 0.500, 0.000], [0.500, 0.500, 0.500], [0.147, 0.147, 0.808], [0.853, 0.853, 0.192]]}

Record 3
{"formula": "K2Ga2Au3", "functional": "PBE", "state": "optimized geometry", "crystal_system": "monoclinic", "total_energy_ev_per_atom": -2.886, "delta_e_f_ev_per_atom": -0.3027, "e_above_lowest_polymorph_ev_per_fu": 0.00, "lattice": [[5.514, -2.435, 0.000], [5.514, 2.435, 0.000], [-1.657, 0.000, 6.680]], "species": ["K", "K", "Ga", "Ga", "Au", "Au", "Au"], "frac_coords": [[0.146, 0.146, 0.339], [0.854, 0.854, 0.661], [0.416, 0.416, 0.114], [0.584, 0.584, 0.886], [0.180, 0.180, 0.894], [0.500, 0.500, 0.500], [0.820, 0.820, 0.106]]}

Record 4
{"formula": "LiP2Os", "functional": "PBE", "state": "optimized geometry", "crystal_system": "orthorhombic", "total_energy_ev_per_atom": -6.232, "delta_e_f_ev_per_atom": -0.2415, "e_above_lowest_polymorph_ev_per_fu": 0.00, "lattice": [[-1.460, 1.492, 6.897], [1.460, -1.492, 6.897], [1.460, 1.492, -6.897]], "species": ["Li", "P", "P", "Os"], "frac_coords": [[0.000, 0.000, 0.000], [0.381, 0.381, 0.000], [0.653, 0.153, 0.500], [0.244, 0.744, 0.500]]}

Record 5
{"formula": "LuCdInPb", "functional": "PBE", "state": "optimized geometry", "crystal_system": "cubic", "total_energy_ev_per_atom": -3.044, "delta_e_f_ev_per_atom": -0.0732, "lattice": [[0.000, 3.760, 3.760], [3.760, 0.000, 3.760], [3.760, 3.760, 0.000]], "species": ["Lu", "Cd", "In", "Pb"], "frac_coords": [[0.000, 0.000, 0.000], [0.500, 0.500, 0.500], [0.750, 0.750, 0.750], [0.250, 0.250, 0.250]]}

Record 6
{"formula": "Ac4PdPt2", "functional": "PBE", "state": "optimized geometry", "crystal_system": "monoclinic", "total_energy_ev_per_atom": -5.720, "delta_e_f_ev_per_atom": -0.9043, "lattice": [[8.012, -2.250, 0.000], [8.012, 2.250, 0.000], [-3.670, 0.000, 6.747]], "species": ["Ac", "Ac", "Ac", "Ac", "Pd", "Pt", "Pt"], "frac_coords": [[0.130, 0.130, 0.471], [0.366, 0.366, 0.037], [0.634, 0.634, 0.963], [0.870, 0.870, 0.529], [0.500, 0.500, 0.500], [0.246, 0.246, 0.245], [0.754, 0.754, 0.755]]}

Record 7
{"formula": "ZnTeAu2", "functional": "PBE", "state": "optimized geometry", "crystal_system": "cubic", "total_energy_ev_per_atom": -2.577, "formation_energy_uncorrected_kj_per_mol_atoms": 16, "e_above_lowest_polymorph_ev_per_fu": 0.97, "lattice": [[0.000, 3.442, 3.442], [3.442, 0.000, 3.442], [3.442, 3.442, 0.000]], "species": ["Zn", "Te", "Au", "Au"], "frac_coords": [[0.000, 0.000, 0.000], [0.500, 0.500, 0.500], [0.250, 0.250, 0.250], [0.750, 0.750, 0.750]]}

Record 8
{"formula": "TaBe8Nb3", "functional": "PBE", "state": "optimized geometry", "crystal_system": "trigonal", "total_energy_ev_per_atom": -6.200, "delta_e_f_ev_per_atom": -0.2104, "lattice": [[4.644, 0.000, 0.000], [-2.322, 4.022, 0.000], [0.000, 0.000, 7.456]], "species": ["Ta", "Be", "Be", "Be", "Be", "Be", "Be", "Be", "Be", "Nb", "Nb", "Nb"], "frac_coords": [[0.000, 0.000, 0.000], [0.161, 0.322, 0.684], [0.161, 0.839, 0.684], [0.333, 0.667, 0.433], [0.333, 0.667, 0.933], [0.506, 0.011, 0.182], [0.506, 0.494, 0.182], [0.678, 0.839, 0.684], [0.989, 0.494, 0.182], [0.000, 0.000, 0.366], [0.667, 0.333, 0.500], [0.667, 0.333, 0.865]]}

Record 9
{"formula": "KAuO3", "functional": "PBE", "state": "optimized geometry", "crystal_system": "cubic", "total_energy_ev_per_atom": -2.313, "formation_energy_uncorrected_kj_per_mol_atoms": 148, "lattice": [[4.273, 0.000, 0.000], [0.000, 4.273, 0.000], [0.000, 0.000, 4.273]], "species": ["K", "Au", "O", "O", "O"], "frac_coords": [[0.000, 0.000, 0.000], [0.500, 0.500, 0.500], [0.000, 0.000, 0.500], [0.000, 0.500, 0.000], [0.500, 0.000, 0.000]]}

Record 10
{"formula": "Rb6Cd", "functional": "PBE", "state": "optimized geometry", "crystal_system": "cubic", "total_energy_ev_per_atom": -0.616, "delta_e_f_ev_per_atom": 0.3441, "lattice": [[-6.405, 6.405, 6.405], [6.405, -6.405, 6.405], [6.405, 6.405, -6.405]], "species": ["Rb", "Rb", "Rb", "Rb", "Rb", "Rb", "Cd"], "frac_coords": [[0.250, 0.500, 0.750], [0.250, 0.750, 0.500], [0.500, 0.250, 0.750], [0.500, 0.750, 0.250], [0.750, 0.250, 0.500], [0.750, 0.500, 0.250], [0.000, 0.000, 0.000]]}

Record 11
{"formula": "AcZn2HgGe", "functional": "PBE", "state": "optimized geometry", "crystal_system": "orthorhombic", "total_energy_ev_per_atom": -2.703, "delta_e_f_ev_per_atom": -0.3875, "lattice": [[-2.242, 2.256, 5.583], [2.242, -2.256, 5.583], [2.242, 2.256, -5.583]], "species": ["Ac", "Zn", "Zn", "Hg", "Ge"], "frac_coords": [[0.000, 0.000, 0.000], [0.620, 0.620, 0.000], [0.748, 0.248, 0.500], [0.245, 0.745, 0.500], [0.395, 0.395, 0.000]]}

Record 12
{"formula": "Tb3Zr2N4", "functional": "PBE", "state": "optimized geometry", "crystal_system": "monoclinic", "total_energy_ev_per_atom": -8.626, "formation_energy_uncorrected_kj_per_mol_atoms": -143, "lattice": [[2.923, -1.687, 0.000], [2.923, 1.687, 0.000], [-0.013, 0.000, 14.212]], "species": ["Tb", "Tb", "Tb", "Zr", "Zr", "N", "N", "N", "N"], "frac_coords": [[0.000, 0.000, 0.000], [0.334, 0.334, 0.384], [0.666, 0.666, 0.616], [0.333, 0.333, 0.805], [0.667, 0.667, 0.195], [0.001, 0.001, 0.284], [0.334, 0.334, 0.103], [0.666, 0.666, 0.897], [0.999, 0.999, 0.716]]}

Record 13
{"formula": "LiVIr", "functional": "PBE", "state": "optimized geometry", "crystal_system": "tetragonal", "total_energy_ev_per_atom": -6.775, "delta_e_f_ev_per_atom": -0.1440, "e_above_lowest_polymorph_ev_per_fu": 0.14, "lattice": [[-1.532, 1.532, 4.284], [1.532, -1.532, 4.284], [1.532, 1.532, -4.284]], "species": ["Li", "V", "Ir"], "frac_coords": [[0.000, 0.000, 0.000], [0.680, 0.680, 0.000], [0.332, 0.332, 0.000]]}